# 1
The following is a DFT calculation (GGA-PBE) of an optimized crystal structure of Gd2SbPb.

Summary:
Energy above the lowest structure with this stoichiometry = 0.000 eV/atom

a b c (Å): 4.302 4.302 8.224
angles (deg): 74.84 74.84 60.00
Element x y z (fractional)
Sb: 0.500 0.500 0.500
Gd: 0.245 0.245 0.264
Gd: 0.755 0.755 0.736
Pb: 0.000 0.000 0.000

# 2
The following is a DFT calculation (GGA-PBE) of an optimized crystal structure of Ho4CoRh.

Summary:
Energy above the lowest structure with this stoichiometry = 0.078 eV/atom
Energy of formation = -0.336 eV per atom

a b c (Å): 7.536 7.536 7.536
angles (deg): 106.62 106.62 115.33
Element x y z (fractional)
Ho: 0.743 0.039 0.296
Ho: 0.310 0.507 0.802
Ho: 0.743 0.447 0.704
Ho: 0.705 0.507 0.198
Ho: 0.789 0.993 0.796
Ho: 0.257 0.955 0.698
Ho: 0.197 0.993 0.204
Ho: 0.257 0.560 0.302
Rh: 0.247 0.247 0.000
Rh: 0.997 0.497 0.500
Co: 0.752 0.752 0.000
Co: 0.502 0.002 0.500

# 3
The following is a DFT calculation (GGA-PBE) of an optimized crystal structure of Fe2CoBr4.

Summary:
Raw total energy = -4.222 eV/atom

a b c (Å): 5.265 5.265 7.100
angles (deg): 68.24 68.24 90.00
Element x y z (fractional)
Co: 0.000 0.000 0.000
Br: 0.500 0.000 0.000
Br: 0.000 0.500 0.000
Br: 0.209 0.209 0.581
Br: 0.791 0.791 0.419
Fe: 0.592 0.592 0.816
Fe: 0.408 0.408 0.184

# 4
The following is a DFT calculation (GGA-PBE) of an optimized crystal structure of Tl3Ni.

Summary:
Energy of formation = 0.194 eV per atom

a b c (Å): 7.584 7.584 7.584
angles (deg): 155.66 145.78 42.44
Element x y z (fractional)
Ni: 0.000 0.000 0.000
Tl: 0.176 0.676 0.500
Tl: 0.824 0.324 0.500
Tl: 0.500 0.500 0.000